First-principles (PBE with a Hubbard U) data for an optimized crystal structure of CoPb2F6, as listed in the Alexandria database.

Results
For the final energy, the calculation gives -4.92 eV/atom. The value obtained for the density is 6.42 g cm⁻³. As for the crystal system: monoclinic. Its total magnetization is 3.0 μB per formula unit.

```
CoPb2F6
1.0
5.8723 0.0000 0.0000
0.0000 6.5918 0.0000
-5.1203 0.0000 7.8543
Co Pb F
2 4 12
Cartesian
0.0000 0.0000 0.0000
-2.5602 3.2959 3.9272
-2.2648 0.5967 5.8264
0.2953 2.6992 1.8993
0.4567 3.8926 5.9551
3.0168 5.9951 2.0279
-0.6660 0.3304 1.8996
-3.2261 2.9655 5.8268
0.6822 4.6754 0.4497
-1.8780 5.2124 4.3769
1.8157 0.8778 0.4010
-0.7444 2.4181 4.3282
1.4964 4.1738 3.5261
-1.0638 5.7140 7.4533
2.6300 1.3794 3.4774
0.0698 1.9165 7.4046
3.9781 3.6263 2.0275
1.4179 6.2614 5.9547
```